# KTlGe2

KTlGe2 after structural relaxation (PBE, Alexandria).

Cell: 5.290 5.290 5.290 Å, 60.00 60.00 60.00°
Element x y z (fractional)
K 0.000 0.000 0.000
Tl 0.500 0.500 0.500
Ge 0.250 0.250 0.250
Ge 0.750 0.750 0.750

The value obtained for the offset from the most stable computed form is 0.104 eV per atom. Its density of states at the Fermi level is 3.30 states/eV per cell. Its formation energy is 304 meV per atom.